CsCdGaHPt | PBE-GGA | optimized geometry

Summary:
final energy: -3.078 eV per atom
SG: Cm (8)
crystal system: monoclinic
spin magnetization: 0.000 μB per cell
offset from the most stable computed form: 0.043 eV/atom

abc: 7.080 4.704 8.193
angles: 90.00 112.89 90.00
Element x y z (fractional)
Cs 0.226 0.000 0.205
Cs 0.226 0.500 0.705
Cd 0.759 0.000 0.716
Cd 0.759 0.500 0.216
Ga 0.671 0.000 0.020
Ga 0.671 0.500 0.520
H 0.415 0.000 0.935
H 0.415 0.500 0.435
Pt 0.747 0.000 0.379
Pt 0.747 0.500 0.879